1.
NaHfZr2As after structural relaxation. Source: Alexandria via LeMat-Bulk, functional GGA-PBEsol.

a b c (Å): 5.110 5.147 5.147
angles (deg): 90.00 90.00 90.00
Atoms (fractional coordinates):
Zr (0.000, 0.000, 0.500)
Zr (0.000, 0.500, 0.000)
Na (0.500, 0.500, 0.500)
As (0.500, 0.000, 0.000)
Hf (0.000, 0.000, 0.000)

Output
The calculation puts the formation energy at 762 meV per atom.



2.
Hf3NbAs after structural relaxation. Source: Alexandria via LeMat-Bulk, functional GGA-PBEsol.

a b c (Å): 4.843 4.843 4.843
angles (deg): 90.00 90.00 90.00
Atoms (fractional coordinates):
Nb (0.500, 0.500, 0.500)
Hf (0.000, 0.500, 0.000)
Hf (0.500, 0.000, 0.000)
Hf (0.000, 0.000, 0.500)
As (0.000, 0.000, 0.000)

Output
The calculation puts the formation energy at 361 meV per atom.



3.
Hf2Ni3As3 after structural relaxation. Source: Alexandria via LeMat-Bulk, functional GGA-PBEsol.

a b c (Å): 3.687 10.238 12.567
angles (deg): 90.00 90.00 90.00
Atoms (fractional coordinates):
Hf (0.250, 0.073, 0.210)
Hf (0.250, 0.332, 0.994)
Hf (0.750, 0.927, 0.790)
Hf (0.750, 0.573, 0.290)
Hf (0.750, 0.832, 0.506)
Hf (0.250, 0.168, 0.494)
Hf (0.250, 0.427, 0.710)
Hf (0.750, 0.668, 0.006)
As (0.750, 0.900, 0.103)
As (0.250, 0.761, 0.357)
As (0.750, 0.052, 0.375)
As (0.750, 0.239, 0.643)
As (0.250, 0.400, 0.397)
As (0.750, 0.600, 0.603)
As (0.250, 0.739, 0.857)
As (0.250, 0.552, 0.125)
As (0.750, 0.448, 0.875)
As (0.750, 0.261, 0.143)
As (0.250, 0.948, 0.625)
As (0.250, 0.100, 0.897)
Ni (0.750, 0.097, 0.015)
Ni (0.750, 0.861, 0.283)
Ni (0.250, 0.903, 0.985)
Ni (0.250, 0.361, 0.217)
Ni (0.750, 0.274, 0.335)
Ni (0.250, 0.774, 0.165)
Ni (0.750, 0.403, 0.515)
Ni (0.250, 0.597, 0.485)
Ni (0.750, 0.639, 0.783)
Ni (0.750, 0.226, 0.835)
Ni (0.250, 0.139, 0.717)
Ni (0.250, 0.726, 0.665)

Output
The calculation puts the formation energy at -766 meV per atom.



4.
HfAsPO2 after structural relaxation. Source: Alexandria via LeMat-Bulk, functional GGA-PBEsol.

a b c (Å): 3.834 3.834 4.719
angles (deg): 90.00 90.00 90.00
Atoms (fractional coordinates):
As (0.000, 0.000, 0.000)
O (0.500, 0.000, 0.000)
O (0.000, 0.500, 0.000)
Hf (0.500, 0.500, 0.500)
P (0.000, 0.000, 0.500)

Output
For the formation energy from raw total energies, the calculation gives -2.91 eV per formula unit.



5.
HfAsS2O after structural relaxation. Source: Alexandria via LeMat-Bulk, functional GGA-PBEsol.

a b c (Å): 4.404 4.404 5.198
angles (deg): 90.00 90.00 90.00
Site moments in Bohr magnetons follow the coordinates.
Atoms (fractional coordinates):
O (0.500, 0.500, 0.500)  0.16
As (0.000, 0.000, 0.000)  0.00
S (0.000, 0.500, 0.000)  0.02
S (0.500, 0.000, 0.000)  0.02
Hf (0.000, 0.000, 0.500)  -0.01

Output
For the formation energy from raw total energies, the calculation gives 3.91 eV per formula unit.



6.
HfAsSe2O after structural relaxation. Source: Alexandria via LeMat-Bulk, functional GGA-PBEsol.

a b c (Å): 4.219 4.450 4.450
angles (deg): 90.00 90.00 90.00
Atoms (fractional coordinates):
O (0.000, 0.000, 0.000)
Hf (0.500, 0.500, 0.500)
As (0.500, 0.000, 0.000)
Se (0.000, 0.500, 0.000)
Se (0.000, 0.000, 0.500)

Output
For the formation energy from raw total energies, the calculation gives -0.69 eV per formula unit.



7.
HfAsOs2Se after structural relaxation. Source: Alexandria via LeMat-Bulk, functional GGA-PBEsol.

a b c (Å): 4.487 4.487 4.929
angles (deg): 90.00 90.00 90.00
Site moments in Bohr magnetons follow the coordinates.
Atoms (fractional coordinates):
Hf (0.000, 0.000, 0.500)  -0.03
Os (0.500, 0.000, 0.000)  0.37
Os (0.000, 0.500, 0.000)  0.37
As (0.000, 0.000, 0.000)  -0.01
Se (0.500, 0.500, 0.500)  0.02

Output
For the formation energy from raw total energies, the calculation gives 5.82 eV per formula unit.



8.
HfAs3P after structural relaxation. Source: Alexandria via LeMat-Bulk, functional GGA-PBEsol.

a b c (Å): 5.029 5.029 5.029
angles (deg): 90.00 90.00 90.00
Atoms (fractional coordinates):
As (0.000, 0.000, 0.500)
As (0.500, 0.000, 0.000)
As (0.000, 0.500, 0.000)
P (0.500, 0.500, 0.500)
Hf (0.000, 0.000, 0.000)

Output
The calculation puts the formation energy at 759 meV per atom.



Electronic total energy / eV/atom: -6.28 -9.13 -7.62 -6.96 -5.14 -5.85 -7.61 -5.56
Density of states at the Fermi level / states/eV per cell: 4.9 4.1 18.5 2.2 4.0 1.9 3.6 5.3